KMnN2O | PBE+U | relaxed

a = 4.767 Å, b = 4.767 Å, c = 4.522 Å
α = 90.00°, β = 90.00°, γ = 90.00°
Fractional coordinates of all 5 atoms:
K 0.000 0.000 0.000
Mn 0.500 0.500 0.500
O 0.000 0.000 0.500
N 0.000 0.500 0.000
N 0.500 0.000 0.000

## Properties
The space group is No. 123. The density comes out at 2.23 g/cm³. As for the total energy: -3.8743 eV/atom. Its density of states at the Fermi level is 1.9 states/eV/f.u.